Record 1
SrNdGa3O7: single point on PBEsol structure, meta-GGA SCAN.

Summary:
Its density of states at the Fermi level is 0.00 states/eV per atom. Its total energy is -15.87 eV/atom. As for the space-group type: Cmm2 (35). The raw formation energy is -2.663 eV/atom.

Cell lengths 7.9790, 7.9790, 5.2828 Å; angles 90.00, 90.00, 90.43 degrees
Last column: nearest neighbours and their distance in Å.
Positions (direct):
Sr1 0.1615 0.8385 0.0000  6 O 2.52-2.68
Sr2 0.8385 0.1615 0.0000  6 O 2.52-2.68
Nd1 0.3388 0.3388 0.0211  6 O 2.37-2.51
Nd2 0.6612 0.6612 0.0211  6 O 2.37-2.51
Ga1 0.0000 0.5000 0.5084  4 O 1.83-1.85
Ga2 0.1466 0.1466 0.4758  4 O 1.80-1.87
Ga3 0.3579 0.6421 0.5430  4 O 1.81-1.86
Ga4 0.5000 0.0000 0.5084  4 O 1.83-1.85
Ga5 0.6421 0.3579 0.5430  4 O 1.81-1.86
Ga6 0.8534 0.8534 0.4758  4 O 1.80-1.87
O1 0.0000 0.0000 0.3271  2 Ga 1.83
O2 0.0958 0.3427 0.2976  2 Ga 1.85-1.87
O3 0.1513 0.1513 0.8157  1 Ga 1.80
O4 0.1658 0.5799 0.7175  2 Ga 1.83-1.85
O5 0.3427 0.0958 0.2976  2 Ga 1.85-1.87
O6 0.3711 0.6289 0.2018  1 Ga 1.81
O7 0.4201 0.8342 0.7175  2 Ga 1.83-1.85
O8 0.5000 0.5000 0.7181  2 Ga 1.86
O9 0.5799 0.1658 0.7175  2 Ga 1.83-1.85
O10 0.6289 0.3711 0.2018  1 Ga 1.81
O11 0.6573 0.9042 0.2976  2 Ga 1.85-1.87
O12 0.8342 0.4201 0.7175  2 Ga 1.83-1.85
O13 0.8487 0.8487 0.8157  1 Ga 1.80
O14 0.9042 0.6573 0.2976  2 Ga 1.85-1.87

=====

Record 2
NdGa4Os: single point on PBEsol structure, meta-GGA SCAN.

Summary:
Its density of states at the Fermi level is 0.30 states/eV per atom. Its total energy is -30.72 eV/atom. As for the space-group type: Pmma (51). For the energy of formation, the calculation gives -0.577 eV per atom.

Cell lengths 9.5730, 8.6895, 7.5995 Å; angles 90.00, 90.00, 90.00 degrees
Last column: nearest neighbours and their distance in Å.
Positions (direct):
Nd1 0.2500 0.0000 0.1794  10 Ga 3.00-3.23
Nd2 0.2500 0.2520 0.6597  10 Ga 3.02-3.12
Nd3 0.2500 0.7480 0.6597  10 Ga 3.02-3.12
Nd4 0.7500 0.0000 0.8206  10 Ga 3.00-3.23
Nd5 0.7500 0.2520 0.3403  10 Ga 3.02-3.12
Nd6 0.7500 0.7480 0.3403  10 Ga 3.02-3.12
Ga1 0.0000 0.0000 0.5000  6 Ga 2.73-2.74
Ga2 0.0618 0.5000 0.8382  3 Os 2.64, 5 Ga 2.73-2.76
Ga3 0.0752 0.2615 0.3218  2 Os 2.56-2.58, 4 Ga 2.69-2.77
Ga4 0.0752 0.7385 0.3218  2 Os 2.56-2.58, 4 Ga 2.69-2.77
Ga5 0.0874 0.0000 0.8413  2 Os 2.55, 1 Ga 2.73
Ga6 0.2500 0.3426 0.0468  2 Os 2.58, 6 Ga 2.74-2.80
Ga7 0.2500 0.5000 0.3684  2 Os 2.59, 6 Ga 2.69-2.80
Ga8 0.2500 0.6574 0.0468  2 Os 2.58, 6 Ga 2.74-2.80
Ga9 0.4126 0.0000 0.8413  2 Os 2.55, 1 Ga 2.73
Ga10 0.4248 0.2615 0.3218  2 Os 2.56-2.58, 4 Ga 2.69-2.77
Ga11 0.4248 0.7385 0.3218  2 Os 2.56-2.58, 4 Ga 2.69-2.77
Ga12 0.4382 0.5000 0.8382  3 Os 2.64, 5 Ga 2.73-2.76
Ga13 0.5000 0.0000 0.5000  6 Ga 2.73-2.74
Ga14 0.5618 0.5000 0.1618  3 Os 2.64, 5 Ga 2.73-2.76
Ga15 0.5752 0.2615 0.6782  2 Os 2.56-2.58, 4 Ga 2.69-2.77
Ga16 0.5752 0.7385 0.6782  2 Os 2.56-2.58, 4 Ga 2.69-2.77
Ga17 0.5874 0.0000 0.1587  2 Os 2.55, 1 Ga 2.73
Ga18 0.7500 0.3426 0.9532  2 Os 2.58, 6 Ga 2.74-2.80
Ga19 0.7500 0.5000 0.6316  2 Os 2.59, 6 Ga 2.69-2.80
Ga20 0.7500 0.6574 0.9532  2 Os 2.58, 6 Ga 2.74-2.80
Ga21 0.9126 0.0000 0.1587  2 Os 2.55, 1 Ga 2.73
Ga22 0.9248 0.2615 0.6782  2 Os 2.56-2.58, 4 Ga 2.69-2.77
Ga23 0.9248 0.7385 0.6782  2 Os 2.56-2.58, 4 Ga 2.69-2.77
Ga24 0.9382 0.5000 0.1618  3 Os 2.64, 5 Ga 2.73-2.76
Os1 0.0000 0.2401 0.0000  8 Ga 2.55-2.64
Os2 0.0000 0.5000 0.5000  8 Ga 2.58-2.64
Os3 0.0000 0.7599 0.0000  8 Ga 2.55-2.64
Os4 0.5000 0.2401 0.0000  8 Ga 2.55-2.64
Os5 0.5000 0.5000 0.5000  8 Ga 2.58-2.64
Os6 0.5000 0.7599 0.0000  8 Ga 2.55-2.64